16
Lattice="6.535 0.000 0.000 0.000 6.535 0.000 0.000 0.000 6.535" Properties=species:S:1:pos:R:3 comment="GdGaNiPd | Alexandria | PBE | optimized geometry" space_group=F-43m e_form_ev_per_atom=-0.536 pbc="T T T"
Gd 0.000 0.000 0.000
Gd 0.000 3.267 3.267
Gd 3.267 0.000 3.267
Gd 3.267 3.267 0.000
Ga 0.000 0.000 3.267
Ga 0.000 3.267 0.000
Ga 3.267 0.000 0.000
Ga 3.267 3.267 3.267
Ni 1.634 1.634 4.901
Ni 1.634 4.901 1.634
Ni 4.901 1.634 1.634
Ni 4.901 4.901 4.901
Pd 1.634 1.634 1.634
Pd 1.634 4.901 4.901
Pd 4.901 1.634 4.901
Pd 4.901 4.901 1.634